The following is a DFT calculation (PBE-GGA) of a relaxed structure of BaSi2P2Au.

Cell: 6.159 6.283 6.968 Å, 90.00 91.49 90.00°
Positions (direct):
1 Ba 0.121 0.250 0.273
2 Ba 0.879 0.750 0.727
3 Si 0.365 0.014 0.835
4 Si 0.365 0.486 0.835
5 Si 0.635 0.514 0.165
6 Si 0.635 0.986 0.165
7 P 0.084 0.250 0.769
8 P 0.380 0.750 0.611
9 P 0.620 0.250 0.389
10 P 0.916 0.750 0.231
11 Au 0.306 0.750 0.112
12 Au 0.694 0.250 0.888

Summary:
formation energy without anion corrections	-0.350	eV/atom
total magnetic moment	0.000	μB per atom
SG	No. 11